[1]
Entry from OQMD via LeMat-Bulk: a geometry-optimized HoErMg structure (PBE-GGA).

```
HoErMg
1.0
-2.603 -1.549 4.223
0.087 2.897 4.314
-4.270 2.553 1.502
Ho Mg Er
1 1 1
direct
0.750 0.750 0.750 Ho
0.000 0.000 0.000 Mg
0.250 0.250 0.250 Er
```

Properties
- offset from the most stable computed form (kJ/mol of formula units) = 142

[2]
Entry from OQMD via LeMat-Bulk: a geometry-optimized HoErMg6 structure (PBE-GGA).

```
HoErMg6
1.0
-0.143 0.070 -5.059
3.487 -5.516 -0.175
-3.799 -5.310 0.034
Mg Ho Er
6 1 1
direct
0.000 0.385 0.817 Mg
0.000 0.817 0.385 Mg
0.500 0.671 0.671 Mg
0.000 0.329 0.329 Mg
0.500 0.615 0.183 Mg
0.500 0.183 0.615 Mg
0.500 0.129 0.129 Ho
0.000 0.871 0.871 Er
```

Properties
- total energy (eV per atom) = -2.360

[3]
Entry from OQMD via LeMat-Bulk: a geometry-optimized HoErMg6 structure (PBE-GGA).

```
HoErMg6
1.0
5.057 0.000 0.000
0.000 3.640 5.413
0.000 -3.640 5.413
Mg Er Ho
6 1 1
direct
0.500 0.919 0.919 Mg
0.000 0.067 0.634 Mg
0.500 0.866 0.432 Mg
0.000 0.634 0.067 Mg
0.000 0.581 0.581 Mg
0.500 0.432 0.866 Mg
0.000 0.120 0.120 Er
0.500 0.380 0.380 Ho
```

Properties
- total energy (eV per atom) = -2.360

[4]
Entry from OQMD via LeMat-Bulk: a geometry-optimized HoErMg structure (PBE-GGA).

```
HoErMg
1.0
4.305 5.364 -5.559
-4.607 -2.199 7.221
4.641 -0.959 2.669
Ho Mg Er
2 2 2
direct
0.275 0.725 0.750 Ho
0.725 0.275 0.250 Ho
0.938 0.062 0.750 Mg
0.062 0.938 0.250 Mg
0.402 0.598 0.250 Er
0.598 0.402 0.750 Er
```

Properties
- offset from the most stable computed form (kJ/mol of formula units) = 1

[5]
Entry from OQMD via LeMat-Bulk: a geometry-optimized HoErMg4 structure (PBE-GGA).

```
HoErMg4
1.0
3.268 0.000 0.000
0.000 5.212 0.000
-0.001 0.000 9.024
Mg Er Ho
4 1 1
direct
0.504 0.500 0.834 Mg
0.496 0.000 0.667 Mg
0.496 0.500 0.166 Mg
0.504 0.000 0.333 Mg
0.000 0.000 0.000 Er
0.000 0.500 0.500 Ho
```

Properties
- total energy (eV per atom) = -2.611

[6]
Entry from OQMD via LeMat-Bulk: a geometry-optimized HoErMg2 structure (PBE-GGA).

```
HoErMg2
1.0
-3.099 4.398 -0.758
0.608 1.574 6.646
4.455 2.335 -4.660
Mg Er Ho
4 2 2
direct
0.750 0.178 0.833 Mg
0.250 0.831 0.666 Mg
0.750 0.666 0.831 Mg
0.250 0.833 0.178 Mg
0.250 0.341 0.673 Er
0.750 0.673 0.341 Er
0.250 0.318 0.160 Ho
0.750 0.160 0.318 Ho
```

Properties
- offset from the most stable computed form (kJ/mol of formula units) = 31

[7]
Entry from OQMD via LeMat-Bulk: a geometry-optimized HoErMg4 structure (PBE-GGA).

```
HoErMg4
1.0
5.278 2.914 1.234
-0.848 -0.071 6.095
0.402 -4.672 -3.986
Mg Er Ho
4 1 1
direct
0.417 0.167 0.251 Mg
0.916 0.167 0.749 Mg
0.584 0.833 0.750 Mg
0.083 0.833 0.250 Mg
0.500 0.500 0.000 Er
0.000 0.500 0.500 Ho
```

Properties
- total energy (eV per atom) = -2.611

[8]
Entry from OQMD via LeMat-Bulk: a geometry-optimized HoErMg6 structure (PBE-GGA).

```
HoErMg6
1.0
-0.678 2.124 4.648
-5.108 -0.429 -0.550
0.227 -6.619 3.057
Ho Mg Er
1 6 1
direct
0.500 0.500 0.500 Ho
0.500 0.000 0.750 Mg
0.000 0.500 0.250 Mg
0.000 0.000 0.500 Mg
0.500 0.000 0.250 Mg
0.500 0.500 0.000 Mg
0.000 0.500 0.750 Mg
0.000 0.000 0.000 Er
```

Properties
- total energy (eV per atom) = -2.361

[9]
Entry from OQMD via LeMat-Bulk: a geometry-optimized HoErMg2 structure (PBE-GGA).

```
HoErMg2
1.0
-3.725 4.682 -2.576
3.688 -2.690 -4.647
-3.836 -3.585 -0.969
Er Mg Ho
2 4 2
direct
0.626 0.374 0.750 Er
0.374 0.626 0.250 Er
0.627 0.873 0.750 Mg
0.373 0.127 0.250 Mg
0.127 0.373 0.750 Mg
0.873 0.627 0.250 Mg
0.127 0.873 0.750 Ho
0.873 0.127 0.250 Ho
```

Properties
- offset from the most stable computed form (kJ/mol of formula units) = 0

[10]
Entry from OQMD via LeMat-Bulk: a geometry-optimized HoErMg2Pb2 structure (PBE-GGA).

```
HoErMg2Pb2
1.0
-2.210 2.210 7.972
2.210 -2.210 7.972
2.210 2.210 -7.972
Er Mg Ho Pb
1 2 1 2
direct
0.335 0.335 0.000 Er
0.500 0.000 0.500 Mg
0.000 0.500 0.500 Mg
0.665 0.665 0.000 Ho
0.862 0.862 0.000 Pb
0.138 0.138 0.000 Pb
```

Properties
- total energy (eV per atom) = -3.669

[11]
Entry from OQMD via LeMat-Bulk: a geometry-optimized HoEr2Mg3Pt3 structure (PBE-GGA).

```
HoEr2Mg3Pt3
1.0
-3.409 -1.879 1.178
3.440 -2.521 5.936
-3.464 6.432 0.235
Mg Pt Er Ho
3 3 2 1
direct
0.500 0.000 0.754 Mg
0.500 0.246 0.246 Mg
0.500 0.754 0.000 Mg
0.500 0.667 0.333 Pt
0.000 0.001 0.001 Pt
0.500 0.333 0.667 Pt
0.000 0.000 0.409 Er
0.000 0.409 0.000 Er
0.000 0.591 0.591 Ho
```

Properties
- total energy (eV per atom) = -5.032

[12]
Entry from OQMD via LeMat-Bulk: a geometry-optimized Ho2ErMg4Tl2 structure (PBE-GGA).

```
Ho2ErMg4Tl2
1.0
-0.935 0.420 -4.518
3.540 -6.527 -1.339
-7.388 0.027 1.531
Mg Tl Ho Er
4 2 2 1
direct
0.500 0.000 0.242 Mg
0.500 0.759 0.759 Mg
0.000 0.001 0.001 Mg
0.500 0.242 0.000 Mg
0.500 0.666 0.333 Tl
0.500 0.333 0.666 Tl
0.000 0.563 0.000 Ho
0.000 0.000 0.563 Ho
0.000 0.437 0.437 Er
```

Properties
- total energy (eV per atom) = -2.963